Entry 1:
Computed, not measured: a geometry-optimized Pr2U2Pd15 structure at the PBE-GGA level of DFT.

Lattice parameters (Å, degrees): 7.1151 7.1151 7.1151 81.06 81.06 81.06
Sites, in units of the cell vectors:
Pr1 0.1453 0.1453 0.1453
Pr2 0.8547 0.8547 0.8547
U1 0.4149 0.4149 0.4149
U2 0.5851 0.5851 0.5851
Pd1 0.0000 0.5000 0.5000
Pd2 0.1588 0.1588 0.6585
Pd3 0.1588 0.6585 0.1588
Pd4 0.1851 0.5000 0.8149
Pd5 0.1851 0.8149 0.5000
Pd6 0.3415 0.8412 0.8412
Pd7 0.5000 0.0000 0.5000
Pd8 0.5000 0.1851 0.8149
Pd9 0.5000 0.5000 0.0000
Pd10 0.5000 0.8149 0.1851
Pd11 0.6585 0.1588 0.1588
Pd12 0.8149 0.1851 0.5000
Pd13 0.8149 0.5000 0.1851
Pd14 0.8412 0.3415 0.8412
Pd15 0.8412 0.8412 0.3415

Summary:
V = 348.3 Å³ per cell
calculated formation energy = -474.4 meV/atom
magnetic moment = 0.00 μB per cell

---

Entry 2:
Computed, not measured: a geometry-optimized Pr2CuSiPd6 structure at the PBE-GGA level of DFT.

Lattice parameters (Å, degrees): 5.7430 5.7430 7.8532 111.42 111.42 59.97
Sites, in units of the cell vectors:
Pr1 0.2126 0.2126 0.1336
Pr2 0.7874 0.7874 0.8664
Cu1 0.5000 0.5000 0.0000
Si1 0.0000 0.0000 0.5000
Pd1 0.2429 0.7280 0.7196
Pd2 0.2446 0.2446 0.7213
Pd3 0.2720 0.7571 0.2804
Pd4 0.7280 0.2429 0.7196
Pd5 0.7554 0.7554 0.2787
Pd6 0.7571 0.2720 0.2804

Summary:
V = 203.3 Å³ per cell
formation energy without anion corrections = -0.58 eV per atom
magnetic moment = 0.00 μB per cell